AlV2GaRe: relaxed, PBE.

Lattice parameters (Å, degrees): 4.4548 4.2908 4.4548 90.00 90.00 90.00
Closest atoms and distances in Å follow each position.
Fractional positions:
1 V 0.5000 0.0000 0.0000  2 Ga 2.23
2 V 0.0000 0.0000 0.5000  2 Ga 2.23
3 Al 0.0000 0.5000 0.0000  2 Ga 2.15
4 Ga 0.0000 0.0000 0.0000  2 Al 2.15, 4 V 2.23
5 Re 0.5000 0.5000 0.5000  8 V 3.09, 4 Al 3.15

## Properties
crystal system = tetragonal
energy relative to the lowest polymorph listed for this composition = 71 meV/atom
E = -6.14 eV/atom
energy relative to the elements = 1.35 eV/atom

=====

AlGaReW: relaxed, PBE.

Lattice parameters (Å, degrees): 3.1702 3.1702 5.9771 90.00 90.00 90.00
Closest atoms and distances in Å follow each position.
Fractional positions:
1 Ga 0.5000 0.5000 0.6025  4 Al 2.70, 4 W 2.72, 1 Re 2.92
2 Al 0.0000 0.0000 0.3521  4 Re 2.66, 4 Ga 2.70, 1 W 2.94
3 W 0.0000 0.0000 0.8603  4 Re 2.70, 4 Ga 2.72, 1 Al 2.94
4 Re 0.5000 0.5000 0.1131  4 Al 2.66, 4 W 2.70, 1 Ga 2.92

## Properties
crystal system = tetragonal
E = -8.18 eV/atom
energy relative to the elements = -0.13 eV/atom

=====

Al2GaRh2: relaxed, PBE.

Lattice parameters (Å, degrees): 7.0774 7.0774 2.9863 90.00 90.00 90.00
Closest atoms and distances in Å follow each position.
Fractional positions:
1 Rh 0.3430 0.8430 0.0000  6 Al 2.52-2.58, 2 Ga 2.67
2 Rh 0.1570 0.3430 0.0000  6 Al 2.52-2.58, 2 Ga 2.67
3 Rh 0.8430 0.6570 0.0000  6 Al 2.52-2.58, 2 Ga 2.67
4 Rh 0.6570 0.1570 0.0000  6 Al 2.52-2.58, 2 Ga 2.67
5 Al 0.6401 0.8599 0.5000  6 Rh 2.52-2.58, 1 Al 2.81
6 Al 0.8599 0.3599 0.5000  6 Rh 2.52-2.58, 1 Al 2.81
7 Al 0.1401 0.6401 0.5000  6 Rh 2.52-2.58, 1 Al 2.81
8 Al 0.3599 0.1401 0.5000  6 Rh 2.52-2.58, 1 Al 2.81
9 Ga 0.0000 0.0000 0.0000  4 Rh 2.67, 2 Ga 2.99
10 Ga 0.5000 0.5000 0.0000  4 Rh 2.67, 2 Ga 2.99

## Properties
crystal system = tetragonal
energy relative to the lowest polymorph listed for this composition = 0 meV/atom
E = -5.79 eV/atom
energy relative to the elements = -0.75 eV/atom

=====

Al2GaRh: relaxed, PBE.

Lattice parameters (Å, degrees): 7.8177 7.8177 6.0482 49.74 49.74 90.00
Closest atoms and distances in Å follow each position.
Fractional positions:
1 Al 0.3750 0.2966 0.7500  2 Rh 2.45
2 Al 0.7034 0.1250 0.2500  2 Rh 2.45
3 Al 0.8750 0.9534 0.7500  2 Rh 2.45
4 Al 0.0466 0.6250 0.2500  2 Rh 2.45
5 Rh 0.0000 0.0000 0.0000  4 Al 2.45, 2 Ga 2.45
6 Rh 0.7500 0.2500 0.5000  4 Al 2.45, 2 Ga 2.45
7 Ga 0.5000 0.5000 0.0000  2 Rh 2.45
8 Ga 0.2500 0.7500 0.5000  2 Rh 2.45

## Properties
crystal system = tetragonal
E = -4.63 eV/atom
energy relative to the elements = -0.17 eV/atom

=====

AlGaRh3: relaxed, PBE.

Lattice parameters (Å, degrees): 4.4290 4.4290 4.4290 90.00 90.00 90.00
Closest atoms and distances in Å follow each position.
Fractional positions:
1 Rh 0.5000 0.0000 0.0000  2 Al 2.21
2 Rh 0.0000 0.5000 0.0000  2 Al 2.21
3 Rh 0.0000 0.0000 0.5000  2 Al 2.21
4 Al 0.0000 0.0000 0.0000  6 Rh 2.21
5 Ga 0.5000 0.5000 0.5000  12 Rh 3.13

## Properties
crystal system = cubic
energy relative to the lowest polymorph listed for this composition = 0 meV/atom
E = -5.42 eV/atom
energy relative to the elements = 0.34 eV/atom

=====

AlGa3Rh6: relaxed, PBE.

Lattice parameters (Å, degrees): 4.2986 7.4443 9.2117 106.96 90.00 90.00
Closest atoms and distances in Å follow each position.
Fractional positions:
1 Al 0.7500 0.0512 0.4025  8 Rh 2.51-2.63
2 Al 0.2500 0.9488 0.5975  8 Rh 2.51-2.63
3 Rh 0.7500 0.8615 0.8143  8 Rh 2.68-2.76, 3 Ga 2.78-2.81
4 Rh 0.7500 0.5412 0.9051  6 Ga 2.57-2.75, 1 Rh 2.75
5 Rh 0.2500 0.6482 0.6851  5 Ga 2.55-2.62, 1 Al 2.59, 2 Rh 2.73
6 Rh 0.2500 0.8466 0.3092  3 Al 2.54-2.63, 3 Ga 2.61-2.68, 1 Rh 2.73
7 Rh 0.2500 0.2467 0.4989  3 Al 2.60-2.63, 4 Ga 2.60-2.69, 1 Rh 2.76
8 Rh 0.2500 0.4588 0.0949  6 Ga 2.57-2.75, 1 Rh 2.75
9 Rh 0.7500 0.3518 0.3149  5 Ga 2.55-2.62, 1 Al 2.59, 2 Rh 2.73
10 Rh 0.7500 0.9139 0.1198  4 Ga 2.44-2.69, 1 Al 2.51, 3 Rh 2.68-2.73
11 Rh 0.7500 0.1534 0.6908  3 Al 2.54-2.63, 3 Ga 2.61-2.68, 1 Rh 2.73
12 Rh 0.7500 0.7533 0.5011  3 Al 2.60-2.63, 4 Ga 2.60-2.69, 1 Rh 2.76
13 Rh 0.2500 0.0861 0.8802  4 Ga 2.44-2.69, 1 Al 2.51, 3 Rh 2.68-2.73
14 Rh 0.2500 0.1385 0.1857  8 Rh 2.68-2.76, 3 Ga 2.78-2.81
15 Ga 0.2500 0.3667 0.7940  8 Rh 2.44-2.68
16 Ga 0.2500 0.7811 0.9812  9 Rh 2.55-2.81
17 Ga 0.7500 0.4608 0.6087  8 Rh 2.55-2.69
18 Ga 0.2500 0.5392 0.3913  8 Rh 2.55-2.69
19 Ga 0.7500 0.6333 0.2060  8 Rh 2.44-2.68
20 Ga 0.7500 0.2189 0.0188  9 Rh 2.55-2.81

## Properties
crystal system = monoclinic
E = -6.29 eV/atom
energy relative to the elements = -0.60 eV/atom

=====

Al8GaRh2: relaxed, PBE.

Lattice parameters (Å, degrees): 5.0175 6.5703 6.5703 64.43 99.84 99.84
Closest atoms and distances in Å follow each position.
Fractional positions:
1 Al 0.7859 0.1959 0.1959  2 Rh 2.50-2.53, 1 Ga 2.62, 1 Al 2.68
2 Al 0.5985 0.1858 0.5937  2 Rh 2.48-2.64, 2 Al 2.73-2.77
3 Al 0.4015 0.4063 0.8142  2 Rh 2.48-2.64, 2 Al 2.73-2.77
4 Al 0.5985 0.5937 0.1858  2 Rh 2.48-2.64, 2 Al 2.73-2.77
5 Al 0.8622 0.5881 0.5881  1 Rh 2.49, 6 Al 2.62-2.77
6 Al 0.4015 0.8142 0.4063  2 Rh 2.48-2.64, 2 Al 2.73-2.77
7 Al 0.2141 0.8041 0.8041  2 Rh 2.50-2.53, 1 Ga 2.62, 1 Al 2.68
8 Al 0.1378 0.4119 0.4119  1 Rh 2.49, 6 Al 2.62-2.77
9 Ga 0.0000 0.0000 0.0000  2 Rh 2.54, 2 Al 2.62
10 Rh 0.2970 0.2138 0.2138  7 Al 2.48-2.64, 1 Ga 2.54
11 Rh 0.7030 0.7862 0.7862  7 Al 2.48-2.64, 1 Ga 2.54

## Properties
crystal system = monoclinic
energy relative to the lowest polymorph listed for this composition = 119 meV/atom
E = -4.67 eV/atom
energy relative to the elements = -0.34 eV/atom

=====

Al5GaRh6: relaxed, PBE.

Lattice parameters (Å, degrees): 4.2522 6.0177 6.7156 90.00 71.74 90.00
Closest atoms and distances in Å follow each position.
Fractional positions:
1 Ga 0.0000 0.0000 0.0000  8 Rh 2.61
2 Rh 0.5000 0.7490 0.0000  6 Al 2.60-2.62, 2 Ga 2.61
3 Rh 0.1671 0.7494 0.6659  7 Al 2.59-2.61, 1 Ga 2.61
4 Rh 0.8329 0.7494 0.3341  7 Al 2.59-2.61, 1 Ga 2.61
5 Rh 0.1671 0.2506 0.6659  7 Al 2.59-2.61, 1 Ga 2.61
6 Rh 0.8329 0.2506 0.3341  7 Al 2.59-2.61, 1 Ga 2.61
7 Rh 0.5000 0.2510 0.0000  6 Al 2.60-2.62, 2 Ga 2.61
8 Al 0.3332 0.5000 0.3337  8 Rh 2.60
9 Al 0.6676 0.0000 0.6648  8 Rh 2.59-2.62
10 Al 0.6668 0.5000 0.6663  8 Rh 2.60
11 Al 0.3324 0.0000 0.3352  8 Rh 2.59-2.62
12 Al 0.0000 0.5000 0.0000  8 Rh 2.60-2.61

## Properties
crystal system = monoclinic
E = -6.51 eV/atom
energy relative to the elements = -1.03 eV/atom

=====

Al2GaRh4: relaxed, PBE.

Lattice parameters (Å, degrees): 5.1208 5.1208 5.1208 109.64 109.39 109.39
Closest atoms and distances in Å follow each position.
Fractional positions:
1 Ga 0.0000 0.0000 0.0000  8 Rh 2.56
2 Rh 0.5000 0.0000 0.0000  4 Al 2.56, 2 Ga 2.56
3 Rh 0.0000 0.5000 0.0000  2 Ga 2.56, 4 Al 2.56
4 Rh 0.0000 0.0000 0.5000  4 Al 2.56, 2 Ga 2.56
5 Rh 0.5000 0.5000 0.5000  4 Al 2.56, 2 Ga 2.56
6 Al 0.5000 0.5000 0.0000  8 Rh 2.56
7 Al 0.5000 0.0000 0.5000  8 Rh 2.56

## Properties
crystal system = tetragonal
E = -6.37 eV/atom
energy relative to the elements = -0.67 eV/atom

=====

Al8Ga2Rh: relaxed, PBE.

Lattice parameters (Å, degrees): 4.2281 5.6437 9.1805 115.79 103.31 90.00
Closest atoms and distances in Å follow each position.
Fractional positions:
1 Al 0.3807 0.5504 0.7614  1 Rh 2.48, 2 Ga 2.72, 1 Al 2.75
2 Al 0.0086 0.7529 0.0172  2 Rh 2.57, 1 Al 2.73
3 Al 0.9914 0.2471 0.9828  2 Rh 2.57, 1 Al 2.73
4 Al 0.3641 0.0289 0.7282  1 Rh 2.51, 2 Ga 2.70, 2 Al 2.80
5 Al 0.6193 0.4496 0.2386  1 Rh 2.48, 2 Ga 2.72, 1 Al 2.75
6 Al 0.2088 0.3270 0.4176  7 Al 2.75-2.91, 4 Ga 2.77-3.06
7 Al 0.7912 0.6730 0.5824  7 Al 2.75-2.91, 4 Ga 2.77-3.06
8 Al 0.6359 0.9711 0.2718  1 Rh 2.51, 2 Ga 2.70, 2 Al 2.80
9 Rh 0.5000 0.0000 0.0000  8 Al 2.48-2.57
10 Ga 0.8135 0.2185 0.6270  7 Al 2.70-2.92
11 Ga 0.1865 0.7815 0.3730  7 Al 2.70-2.92

## Properties
crystal system = monoclinic
E = -4.10 eV/atom
energy relative to the elements = -0.16 eV/atom

=====

AlGaRh2: relaxed, PBE.

Lattice parameters (Å, degrees): 3.0285 4.2599 4.2599 90.00 90.00 90.00
Closest atoms and distances in Å follow each position.
Fractional positions:
1 Rh 0.0000 0.0000 0.5000  4 Al 2.61, 4 Ga 2.61
2 Rh 0.0000 0.5000 0.0000  4 Al 2.61, 4 Ga 2.61
3 Ga 0.5000 0.5000 0.5000  8 Rh 2.61
4 Al 0.5000 0.0000 0.0000  8 Rh 2.61

## Properties
crystal system = tetragonal
E = -6.26 eV/atom
energy relative to the elements = -0.89 eV/atom

=====

Al8GaRh2: relaxed, PBE.

Lattice parameters (Å, degrees): 4.7596 5.1407 7.9292 108.80 107.08 90.73
Closest atoms and distances in Å follow each position.
Fractional positions:
1 Al 0.2798 0.3486 0.2809  2 Al 2.54-2.60, 3 Rh 2.58-2.76
2 Al 0.3419 0.4568 0.9090  2 Al 2.43, 2 Rh 2.55-2.56, 1 Ga 2.63
3 Al 0.9094 0.9768 0.5392  2 Al 2.54-2.60, 3 Rh 2.59-2.75
4 Al 0.6953 0.0141 0.1181  2 Rh 2.68, 2 Ga 2.80-2.81, 7 Al 2.94-2.99
5 Al 0.4866 0.8041 0.7001  2 Rh 2.68, 2 Ga 2.80-2.81, 7 Al 2.94-2.99
6 Al 0.9020 0.4696 0.5372  2 Al 2.54-2.60, 3 Rh 2.58-2.76
7 Al 0.8399 0.3613 0.9091  2 Al 2.43, 2 Rh 2.55-2.56, 1 Ga 2.63
8 Al 0.2724 0.8414 0.2790  2 Al 2.54-2.60, 3 Rh 2.59-2.75
9 Rh 0.4335 0.2507 0.5934  10 Al 2.55-2.76
10 Rh 0.7482 0.5675 0.2248  10 Al 2.55-2.76
11 Ga 0.0910 0.9091 0.9091  8 Al 2.63-2.94

## Properties
crystal system = triclinic
energy relative to the lowest polymorph listed for this composition = 0 meV/atom
E = -4.79 eV/atom
energy relative to the elements = -0.45 eV/atom

=====

AlGa3Rh: relaxed, PBE.

Lattice parameters (Å, degrees): 4.7839 4.7839 4.7839 90.00 90.00 90.00
Closest atoms and distances in Å follow each position.
Fractional positions:
1 Ga 0.5000 0.0000 0.0000  2 Rh 2.39
2 Ga 0.0000 0.0000 0.5000  2 Rh 2.39
3 Ga 0.0000 0.5000 0.0000  2 Rh 2.39
4 Rh 0.0000 0.0000 0.0000  6 Ga 2.39
5 Al 0.5000 0.5000 0.5000  12 Ga 3.38

## Properties
crystal system = cubic
energy relative to the lowest polymorph listed for this composition = 298 meV/atom
E = -4.04 eV/atom
energy relative to the elements = 0.00 eV/atom